Entry 1:
VASP calculation (PBE) on ZrSiO after structural relaxation.

a = 3.3058 Å, b = 3.3058 Å, c = 7.3226 Å
α = 90.00°, β = 90.00°, γ = 90.00°
Space group P4/nmm (No. 129, origin choice 2)
Inequivalent atoms, fractional coordinates:
Zr: 0.2500 0.2500 0.1919 x2
Si: 0.2500 0.7500 0.5000 x2
O: 0.2500 0.2500 0.8889 x2

Results
Total energy   -48.41 eV per cell



Entry 2:
VASP calculation (PBE) on ZrSiO4 after structural relaxation.

a = 4.6806 Å, b = 5.0920 Å, c = 4.9002 Å
α = 90.00°, β = 98.86°, γ = 90.00°
Space group P2/c (No. 13)
Inequivalent atoms, fractional coordinates:
Zr: 0.0000 0.2235 0.2500 x2
Si: 0.5000 0.3326 0.7500 x2
O: 0.2529 0.1030 0.6108 x4
O: 0.2804 0.4223 0.0132 x4

Results
Total energy   -102.44 eV per cell



Entry 3:
VASP calculation (PBE) on Zr2Si2O5 after structural relaxation.

a = 3.8683 Å, b = 3.8683 Å, c = 5.9002 Å
α = 90.00°, β = 90.00°, γ = 90.00°
Space group P4/mmm (No. 123)
Inequivalent atoms, fractional coordinates:
Zr: 0.0000 0.0000 0.0000 x1
Zr: 0.0000 0.0000 0.5000 x1
Si: 0.5000 0.5000 0.2019 x2
O: 0.0000 0.5000 0.2436 x4
O: 0.5000 0.5000 0.5000 x1

Results
Energy above the most stable polymorph in this dataset   0.000 eV per atom



Entry 4:
VASP calculation (PBE) on ZrSiO4 after structural relaxation.

a = 5.4826 Å, b = 7.9325 Å, c = 6.7072 Å
α = 90.00°, β = 90.00°, γ = 90.00°
Space group Cmcm (No. 63)
Inequivalent atoms, fractional coordinates:
Zr: 0.0000 0.0000 0.0000 x4
Si: 0.0000 0.3613 0.2500 x4
O: 0.0000 0.2534 0.0466 x8
O: 0.2485 0.0211 0.7500 x8

Results
Total energy   -205.68 eV per cell



Entry 5:
VASP calculation (PBE) on Zr2Si2O5 after structural relaxation.

a = 4.1172 Å, b = 4.1172 Å, c = 7.7282 Å
α = 90.00°, β = 90.00°, γ = 90.00°
Space group P4/mmm (No. 123)
Inequivalent atoms, fractional coordinates:
Zr: 0.0000 0.0000 0.2401 x2
Si: 0.5000 0.5000 0.0000 x1
Si: 0.5000 0.5000 0.5000 x1
O: 0.0000 0.0000 0.5000 x1
O: 0.0000 0.5000 0.2469 x4

Results
Energy above the most stable polymorph in this dataset   0.182 eV per atom



Entry 6:
VASP calculation (PBE) on Sm32O21 after structural relaxation.

a = 15.3498 Å, b = 15.3498 Å, c = 18.7081 Å
α = 90.00°, β = 90.00°, γ = 120.00°
Space group R3m (No. 160, hexagonal axes)
Inequivalent atoms, fractional coordinates:
Sm: 0.0000 0.0000 0.0000 x3
Sm: 0.0000 0.0000 0.5000 x3
Sm: 0.0071 0.2511 0.9896 x18
Sm: 0.0077 0.5038 0.4958 x9
Sm: 0.0782 0.1565 0.6622 x9
Sm: 0.0821 0.1642 0.1595 x9
Sm: 0.0833 0.4113 0.1575 x18
Sm: 0.1670 0.3340 0.3266 x9
Sm: 0.1686 0.0843 0.3302 x9
Sm: 0.1761 0.0880 0.8271 x9
O: 0.0076 0.5038 0.8670 x9
O: 0.0791 0.4106 0.5325 x18
O: 0.0827 0.4148 0.0326 x18
O: 0.0853 0.1705 0.0381 x9
O: 0.1703 0.0852 0.7053 x9

Results
Total energy   -1096.66 eV per cell



Entry 7:
VASP calculation (PBE) on SmO after structural relaxation.

a = 3.3388 Å, b = 3.3388 Å, c = 3.1769 Å
α = 90.00°, β = 90.00°, γ = 120.00°
Space group P-6m2 (No. 187)
Inequivalent atoms, fractional coordinates:
Sm: 0.0000 0.0000 0.0000 x1
O: 0.3333 0.6667 0.5000 x1

Results
Energy above the most stable polymorph in this dataset   0.263 eV per atom



Entry 8:
VASP calculation (PBE) on Sm2O3 after structural relaxation.

a = 10.9069 Å, b = 10.9069 Å, c = 10.9069 Å
α = 90.00°, β = 90.00°, γ = 90.00°
Space group Ia-3 (No. 206)
Inequivalent atoms, fractional coordinates:
Sm: 0.0000 0.0000 0.0000 x8
Sm: 0.0000 0.2500 0.2809 x24
O: 0.0998 0.1412 0.6286 x48

Results
Total energy   -664.07 eV per cell



| no. | volume (A^3/atom) |
| --- | --- |
| 1 | 13.3 |
| 2 | 9.6 |
| 3 | 9.8 |
| 4 | 12.2 |
| 5 | 14.6 |
| 6 | 24.0 |
| 7 | 15.3 |
| 8 | 16.2 |